<i>
# InCo3Tc

Crystalline InCo3Tc at its relaxed geometry (PBE-GGA, the Alexandria database).

The value obtained for the density of states at the Fermi level is 2.01 states/eV per atom.

The structure belongs to space group Pm-3m (No. 221); the cell edges are 4.5827, 4.5827 and 4.5827 Å and the angles 90.00°, 90.00° and 90.00°. Symmetry generates all atoms from In at (0.0000, 0.0000, 0.0000), Co at (0.0000, 0.0000, 0.5000) and Tc at (0.5000, 0.5000, 0.5000).



<ii>
# InCo3Tc

Crystalline InCo3Tc at its relaxed geometry (PBE-GGA, the Alexandria database).

The value obtained for the density of states at the Fermi level is 1.71 states/eV per atom.

The structure belongs to space group Pm-3m (No. 221); the cell edges are 4.4236, 4.4236 and 4.4236 Å and the angles 90.00°, 90.00° and 90.00°. Symmetry generates all atoms from In at (0.0000, 0.0000, 0.0000), Co at (0.0000, 0.5000, 0.5000) and Tc at (0.5000, 0.5000, 0.5000).



Verdict on stability: <ii> comes out on top.



<i>
# InCo2Tc2

Crystalline InCo2Tc2 at its relaxed geometry (PBE-GGA, the Alexandria database).

The value obtained for the density of states at the Fermi level is 0.81 states/eV per atom.

The structure belongs to space group P4/mbm (No. 127); the cell edges are 7.2304, 7.2304 and 2.7196 Å and the angles 90.00°, 90.00° and 90.00°. Symmetry generates all atoms from In at (0.0000, 0.0000, 0.0000), Co at (0.1171, 0.3829, 0.0000) and Tc at (0.1727, 0.6727, 0.5000).



<ii>
# InCo2Tc2

Crystalline InCo2Tc2 at its relaxed geometry (PBE-GGA, the Alexandria database).

The value obtained for the density of states at the Fermi level is 1.05 states/eV per atom.

The structure belongs to space group P4/mbm (No. 127); the cell edges are 7.3811, 7.3811 and 2.6735 Å and the angles 90.00°, 90.00° and 90.00°. Symmetry generates all atoms from In at (0.0000, 0.0000, 0.0000), Co at (0.1638, 0.3362, 0.5000) and Tc at (0.1239, 0.6239, 0.0000).



Verdict on stability: <i> comes out on top.



<i>
# InCoTc

Crystalline InCoTc at its relaxed geometry (PBE-GGA, the Alexandria database).

The value obtained for the density of states at the Fermi level is 0.99 states/eV per atom.

The structure belongs to space group I4mm (No. 107); the cell edges are 2.8541, 2.8541 and 11.1458 Å and the angles 90.00°, 90.00° and 90.00°. Symmetry generates all atoms from In at (0.0000, 0.0000, 0.0000), Co at (0.0000, 0.0000, 0.3256) and Tc at (0.0000, 0.0000, 0.6933).



<ii>
# InCoTc

Crystalline InCoTc at its relaxed geometry (PBE-GGA, the Alexandria database).

The value obtained for the density of states at the Fermi level is 1.24 states/eV per atom.

The structure belongs to space group F-43m (No. 216); the cell edges are 5.8574, 5.8574 and 5.8574 Å and the angles 90.00°, 90.00° and 90.00°. Symmetry generates all atoms from In at (0.0000, 0.0000, 0.0000), Co at (0.2500, 0.2500, 0.7500) and Tc at (0.0000, 0.0000, 0.5000).



Verdict on stability: <i> comes out on top.



<i>
# Th2InCo

Crystalline Th2InCo at its relaxed geometry (PBE-GGA, the Alexandria database).

The value obtained for the density of states at the Fermi level is 0.96 states/eV per atom.

The structure belongs to space group Pnma (No. 62); the cell edges are 6.3832, 4.6917 and 13.8655 Å and the angles 90.00°, 90.00° and 90.00°. Symmetry generates all atoms from Th at (0.0805, 0.2500, 0.1985), Th at (0.2085, 0.2500, 0.5436), In at (0.2416, 0.2500, 0.8620) and Co at (0.0358, 0.2500, 0.3788).



<ii>
# Th2InCo

Crystalline Th2InCo at its relaxed geometry (PBE-GGA, the Alexandria database).

The value obtained for the density of states at the Fermi level is 1.13 states/eV per atom.

The structure belongs to space group R-3m (No. 166, hexagonal axes); the cell edges are 3.8202, 3.8202 and 29.6570 Å and the angles 90.00°, 90.00° and 120.00°. Symmetry generates all atoms from Th at (0.0000, 0.0000, 0.1141), In at (0.0000, 0.0000, 0.0000) and Co at (0.0000, 0.0000, 0.5000).



<iii>
# Th2InCo

Crystalline Th2InCo at its relaxed geometry (PBE-GGA, the Alexandria database).

The value obtained for the density of states at the Fermi level is 1.01 states/eV per atom.

The structure belongs to space group P4/mmm (No. 123); the cell edges are 3.3697, 3.3697 and 8.6515 Å and the angles 90.00°, 90.00° and 90.00°. Symmetry generates all atoms from Th at (0.0000, 0.0000, 0.2016), In at (0.5000, 0.5000, 0.5000) and Co at (0.5000, 0.5000, 0.0000).



Verdict on stability: <iii> comes out on top.